[1]
Compound: ScBeAlAg2
Source: the Alexandria database
Functional: PBE
Structure: optimized geometry

```
ScBeAlAg2
1.0
4.482 0.000 0.000
0.000 4.482 0.000
0.000 0.000 4.393
Sc Be Al Ag
1 1 1 2
Direct
0.000 0.000 0.000
0.500 0.500 0.500
0.500 0.500 0.000
0.000 0.500 0.500
0.500 0.000 0.500
```

## Properties
size of the total moment	0.00	Bohr magnetons per cell
symmetry	P4/mmm (123)
total DFT energy (no corrections)	-19.11	eV/cell
calculated volume	88	Å³/f.u.
energy relative to the elements	0.08	eV/atom


[2]
Compound: HfZn2Pb
Source: the Alexandria database
Functional: PBE
Structure: optimized geometry

```
HfZn2Pb
1.0
4.300 0.000 0.000
0.000 4.300 0.000
0.000 0.000 4.178
Hf Zn Pb
1 2 1
Direct
0.000 0.000 0.000
0.000 0.500 0.500
0.500 0.000 0.500
0.500 0.500 0.000
```

## Properties
size of the total moment	0.00	Bohr magnetons per cell
symmetry	P4/mmm (123)
total DFT energy (no corrections)	-16.25	eV/cell
calculated volume	77	Å³/f.u.
energy relative to the elements	-0.01	eV/atom


[3]
Compound: CaBTeO5
Source: the Alexandria database
Functional: PBE
Structure: optimized geometry

```
CaBTeO5
1.0
3.294 -4.299 0.000
3.294 4.299 0.000
-3.053 0.000 6.682
Ca B Te O
2 2 2 10
Direct
0.153 0.847 0.750
0.847 0.153 0.250
0.185 0.815 0.250
0.815 0.185 0.750
0.500 0.500 0.000
0.500 0.500 0.500
0.091 0.243 0.904
0.173 0.611 0.359
0.243 0.091 0.404
0.389 0.827 0.141
0.416 0.584 0.750
0.584 0.416 0.250
0.611 0.173 0.859
0.757 0.909 0.596
0.827 0.389 0.641
0.909 0.757 0.096
```

## Properties
size of the total moment	0.00	Bohr magnetons per cell
symmetry	C2/c (15)
total DFT energy (no corrections)	-103.08	eV/cell
calculated volume	95	Å³/f.u.


[4]
Compound: CaCd3H
Source: the Alexandria database
Functional: PBE
Structure: optimized geometry

```
CaCd3H
1.0
4.748 0.000 0.000
0.000 4.748 0.000
0.000 0.000 4.748
Ca Cd H
1 3 1
Direct
0.000 0.000 0.000
0.000 0.500 0.500
0.500 0.000 0.500
0.500 0.500 0.000
0.500 0.500 0.500
```

## Properties
size of the total moment	0.00	Bohr magnetons per cell
symmetry	Pm-3m (221)
total DFT energy (no corrections)	-7.68	eV/cell
calculated volume	107	Å³/f.u.


[5]
Compound: Sb7Os
Source: the Alexandria database
Functional: PBE
Structure: optimized geometry

```
Sb7Os
1.0
0.000 4.631 4.631
4.631 0.000 4.631
4.631 4.631 0.000
Sb Os
7 1
Direct
0.000 0.000 0.000
0.000 0.000 0.500
0.000 0.500 0.000
0.000 0.500 0.500
0.500 0.000 0.000
0.500 0.000 0.500
0.500 0.500 0.000
0.500 0.500 0.500
```

## Properties
size of the total moment	0.00	Bohr magnetons per cell
symmetry	Fm-3m (225)
total DFT energy (no corrections)	-34.95	eV/cell
calculated volume	199	Å³/f.u.